Entry 1:
Computed, not measured: a relaxed structure of LiAlNF2 at the PBE level of DFT.

Computed properties:
SG: P4/mmm

```
LiAlNF2
1.0
-2.7806 -1.2450 -1.3589
-1.2579 -0.5156 3.0463
-1.7109 3.8761 -0.0505
N Li F Al
1 1 2 1
direct
0.0000 0.0000 0.5000
0.0000 0.0000 0.0000
0.0000 0.5000 0.0000
0.5000 0.0000 0.0000
0.5000 0.5000 0.5000
```

***

Entry 2:
Computed, not measured: a relaxed structure of LiAlNF2 at the PBE level of DFT.

Computed properties:
SG: P4/mmm

```
LiAlNF2
1.0
3.7546 0.0000 0.0000
0.0000 3.7546 0.0000
0.0000 0.0000 3.8264
F N Al Li
2 1 1 1
direct
0.5000 0.0000 0.0000
0.0000 0.5000 0.0000
0.0000 0.0000 0.5000
0.0000 0.0000 0.0000
0.5000 0.5000 0.5000
```

***

Entry 3:
Computed, not measured: a relaxed structure of LiAlN2F at the PBE level of DFT.

Computed properties:
SG: P4/mmm

```
LiAlN2F
1.0
-3.0541 1.2966 1.7281
1.1341 -1.5849 3.1932
1.9392 3.3016 0.9500
N F Li Al
2 1 1 1
direct
0.5000 0.0000 0.0000
0.0000 0.5000 0.0000
0.0000 0.0000 0.5000
0.5000 0.5000 0.5000
0.0000 0.0000 0.0000
```

***

Entry 4:
Computed, not measured: a relaxed structure of LiAlN2F at the PBE level of DFT.

Computed properties:
SG: P4/mmm

```
LiAlN2F
1.0
-1.7333 -2.6021 -1.7445
-0.1943 -1.9006 3.0279
-3.0873 1.5409 0.7691
N F Al Li
2 1 1 1
direct
0.0000 0.5000 0.0000
0.5000 0.0000 0.0000
0.0000 0.0000 0.5000
0.5000 0.5000 0.5000
0.0000 0.0000 0.0000
```

***

Entry 5:
Computed, not measured: a relaxed structure of Na3Li3Al2F12 at the PBE level of DFT.

Computed properties:
SG: Ia-3d

```
Na3Li3Al2F12
1.0
-9.4235 0.5209 4.9470
-0.5250 -7.1315 -7.9002
7.5071 -2.9563 6.9606
F Li Al Na
48 12 8 12
direct
0.6114 0.4287 0.0973
0.6827 0.5141 0.6114
0.3886 0.5713 0.9027
0.5973 0.9287 0.1114
0.4027 0.0713 0.8886
0.9027 0.3886 0.5713
0.9859 0.8173 0.8886
0.1686 0.1827 0.5713
0.0141 0.1827 0.1114
0.0713 0.6827 0.6686
0.5973 0.1686 0.4859
0.3173 0.3314 0.9287
0.1114 0.5973 0.9287
0.4287 0.8314 0.8173
0.4287 0.0973 0.6114
0.6686 0.0973 0.9859
0.9859 0.6686 0.0973
0.1686 0.4859 0.5973
0.1827 0.1114 0.0141
0.3314 0.9287 0.3173
0.0713 0.8886 0.4027
0.5141 0.6114 0.6827
0.8886 0.9859 0.8173
0.5141 0.4027 0.8314
0.8314 0.5141 0.4027
0.6114 0.6827 0.5141
0.9287 0.3173 0.3314
0.4859 0.5973 0.1686
0.0973 0.6114 0.4287
0.0141 0.3314 0.9027
0.8314 0.8173 0.4287
0.1827 0.5713 0.1686
0.8886 0.4027 0.0713
0.5713 0.9027 0.3886
0.0973 0.9859 0.6686
0.1114 0.0141 0.1827
0.5713 0.1686 0.1827
0.6686 0.0713 0.6827
0.6827 0.6686 0.0713
0.9287 0.1114 0.5973
0.8173 0.8886 0.9859
0.3314 0.9027 0.0141
0.9027 0.0141 0.3314
0.3886 0.3173 0.4859
0.8173 0.4287 0.8314
0.3173 0.4859 0.3886
0.4027 0.8314 0.5141
0.4859 0.3886 0.3173
0.2500 0.1250 0.8750
0.7500 0.8750 0.1250
0.6250 0.7500 0.3750
0.8750 0.2500 0.1250
0.1250 0.8750 0.2500
0.3750 0.6250 0.7500
0.8750 0.1250 0.7500
0.3750 0.2500 0.6250
0.7500 0.3750 0.6250
0.2500 0.6250 0.3750
0.6250 0.3750 0.2500
0.1250 0.7500 0.8750
0.0000 0.0000 0.0000
0.5000 0.5000 0.0000
0.0000 0.0000 0.5000
0.0000 0.5000 0.0000
0.5000 0.0000 0.0000
0.5000 0.5000 0.5000
0.0000 0.5000 0.5000
0.5000 0.0000 0.5000
0.8750 0.7500 0.6250
0.1250 0.2500 0.3750
0.3750 0.1250 0.2500
0.3750 0.7500 0.1250
0.1250 0.3750 0.7500
0.7500 0.6250 0.8750
0.6250 0.2500 0.8750
0.8750 0.6250 0.2500
0.2500 0.3750 0.1250
0.7500 0.1250 0.3750
0.6250 0.8750 0.7500
0.2500 0.8750 0.6250
```

***

Entry 6:
Computed, not measured: a relaxed structure of Li2NdAlF8 at the PBE level of DFT.

Computed properties:
SG: P2/m

```
Li2NdAlF8
1.0
4.6733 0.0989 -0.0038
0.1522 4.7223 -0.0065
0.0027 0.0057 6.7024
F Li Nd Al
8 2 1 1
direct
0.1915 0.8017 0.2050
0.1914 0.8016 0.7950
0.8086 0.1984 0.2050
0.2694 0.2605 0.0001
0.6641 0.6862 0.4996
0.7306 0.7395 0.9999
0.8085 0.1983 0.7950
0.3359 0.3138 0.5004
0.5002 0.5002 0.2090
0.4998 0.4998 0.7910
0.0000 0.0000 0.5000
0.0000 0.0000 0.0000
```

***

In meV per atom, the energy relative to the elements, uncorrected values for the records above are, in order, -978, -1777, -467, 533, -3202, -3450.
In eV for the cell shown, the total energy values for the records above are, in order, -22.615, -26.610, -26.513, -21.516, -414.725, -68.706.
In states/eV per atom, the DOS(E_F) values for the records above are, in order, 0.055, 0.535, 0.201, 0.554, 0.000, 0.000.